Entry 1:
VASP calculation (GGA-PBE) on a relaxed structure of Tb2SN.

Values from the calculation:
Fermi-level density of states   0.288 states/eV/atom
Space group   No. 166
Energy relative to the elements, uncorrected   -1852 meV per atom
VASP energy   -7.280 eV/atom
Distance to the lowest polymorph of the same formula   0.000 eV per atom

abc: 3.6425 3.6425 6.6506
angles: 74.11 74.11 60.00
Fractional coordinates of all 4 atoms:
S  0.0000  0.0000  0.0000
Tb  0.7636  0.7636  0.7092
Tb  0.2364  0.2364  0.2908
N  0.5000  0.5000  0.5000



Entry 2:
VASP calculation (GGA-PBE) on a relaxed structure of Tb4SN2.

Values from the calculation:
Fermi-level density of states   0.757 states/eV/atom
Space group   No. 12
Energy relative to the elements, uncorrected   -1445 meV per atom
VASP energy   -7.060 eV/atom

abc: 3.5846 6.1721 7.2204
angles: 115.22 104.37 90.00
Fractional coordinates of all 7 atoms:
Tb  0.1436  0.8063  0.2873
Tb  0.8564  0.1937  0.7127
Tb  0.3570  0.6878  0.7141
Tb  0.6430  0.3122  0.2859
S  0.0000  0.0000  0.0000
N  0.2564  0.2525  0.5129
N  0.7436  0.7475  0.4871



Entry 3:
VASP calculation (GGA-PBE) on a relaxed structure of Tb4S3N2.

Values from the calculation:
Fermi-level density of states   0.000 states/eV/atom
Space group   No. 12
Energy relative to the elements, uncorrected   -1943 meV per atom
VASP energy   -7.227 eV/atom

abc: 3.8520 6.7855 8.0337
angles: 83.85 76.13 73.51
Fractional coordinates of all 9 atoms:
Tb  0.7587  0.1307  0.3519
Tb  0.2413  0.8693  0.6481
Tb  0.4368  0.2716  0.8547
Tb  0.5632  0.7284  0.1453
S  0.0000  0.0000  0.0000
S  0.1718  0.4389  0.2174
S  0.8282  0.5611  0.7826
N  0.6445  0.0722  0.6388
N  0.3555  0.9278  0.3612



Entry 4:
VASP calculation (GGA-PBE) on a relaxed structure of TbSN4.

Values from the calculation:
Fermi-level density of states   0.375 states/eV/atom
Space group   No. 2
Energy relative to the elements, uncorrected   -549 meV per atom
VASP energy   -7.559 eV/atom

abc: 5.3059 11.4589 7.5037
angles: 40.24 69.91 63.29
Each line ends with the local moment (μB).
Fractional coordinates of all 12 atoms:
Tb  0.7500  0.6456  0.7091  0.00
Tb  0.2500  0.3544  0.2909  0.00
S  0.7495  0.3638  0.2732  0.00
S  0.2505  0.6362  0.7268  0.00
N  0.0258  0.6547  0.1969  0.06
N  0.9247  0.6994  0.3052  0.06
N  0.5260  0.8518  0.8029  -0.06
N  0.4247  0.0047  0.6947  -0.06
N  0.9742  0.3453  0.8031  0.06
N  0.4740  0.1482  0.1971  -0.06
N  0.0753  0.3006  0.6948  0.06
N  0.5753  0.9953  0.3053  -0.06



Entry 5:
VASP calculation (GGA-PBE) on a relaxed structure of Tb8S6N.

Values from the calculation:
Fermi-level density of states   0.678 states/eV/atom
Space group   No. 147
Energy relative to the elements, uncorrected   -1258 meV per atom
VASP energy   -5.933 eV/atom

abc: 4.0371 9.7859 9.7859
angles: 120.00 90.00 90.00
Fractional coordinates of all 15 atoms:
Tb  0.7346  0.9727  0.2779
Tb  0.7346  0.7221  0.6948
Tb  0.7346  0.3052  0.0273
Tb  0.2654  0.0273  0.7221
Tb  0.2654  0.2779  0.3052
Tb  0.2654  0.6948  0.9727
Tb  0.7447  0.3333  0.6667
Tb  0.2553  0.6667  0.3333
S  0.7573  0.6516  0.1289
S  0.7573  0.8711  0.5228
S  0.7573  0.4772  0.3484
S  0.2427  0.3484  0.8711
S  0.2427  0.1289  0.4772
S  0.2427  0.5228  0.6516
N  0.5000  0.0000  0.0000



Entry 6:
VASP calculation (GGA-PBE) on a relaxed structure of Tb5SN4.

Values from the calculation:
Fermi-level density of states   0.203 states/eV/atom
Space group   No. 139
Energy relative to the elements, uncorrected   -1642 meV per atom
VASP energy   -7.700 eV/atom

abc: 3.6147 3.6147 12.8534
angles: 98.08 98.08 90.00
Fractional coordinates of all 10 atoms:
Tb  0.1086  0.1086  0.2173
Tb  0.5000  0.5000  0.0000
Tb  0.8914  0.8914  0.7827
Tb  0.2981  0.2981  0.5961
Tb  0.7019  0.7019  0.4039
S  0.0000  0.0000  0.0000
N  0.3962  0.3962  0.7925
N  0.7983  0.7983  0.5966
N  0.2017  0.2017  0.4034
N  0.6038  0.6038  0.2075